No. 1
A geometry-optimized NdErTe3 structure. Source: the Open Quantum Materials Database, functional PBE-GGA.

a = 7.4005 Å, b = 7.4005 Å, c = 10.7947 Å
α = 90.00°, β = 90.00°, γ = 146.20°
Element x y z (fractional)
Er  0.0000  0.0000  0.0000
Er  0.0000  0.0000  0.5000
Nd  0.2503  0.7497  0.2500
Nd  0.7497  0.2503  0.7500
Te  0.6463  0.3537  0.0630
Te  0.9124  0.0876  0.2500
Te  0.6463  0.3537  0.4370
Te  0.3537  0.6463  0.5630
Te  0.0876  0.9124  0.7500
Te  0.3537  0.6463  0.9370

Values from the calculation:
**Total magnetization**: 0.00 μB per atom
**Total energy**: -5.16 eV/atom

No. 2
A geometry-optimized Tb2NdNiSn3Pt2 structure. Source: the Open Quantum Materials Database, functional PBE-GGA.

a = 3.9805 Å, b = 7.5657 Å, c = 7.5657 Å
α = 120.20°, β = 90.00°, γ = 90.00°
Element x y z (fractional)
Nd  0.0000  0.5919  0.5919
Ni  0.0000  0.0037  0.0037
Pt  0.5000  0.6685  0.3282
Pt  0.5000  0.3282  0.6685
Sn  0.5000  0.7543  0.0020
Sn  0.5000  0.2457  0.2457
Sn  0.5000  0.0020  0.7543
Tb  0.0000  0.9997  0.4059
Tb  0.0000  0.4059  0.9997

Values from the calculation:
**Total magnetization**: 0.00 μB per atom
**Total energy**: -5.82 eV/atom

No. 3
A geometry-optimized ErMgTeAuS2 structure. Source: the Open Quantum Materials Database, functional PBE-GGA.

a = 6.7952 Å, b = 6.7952 Å, c = 11.3536 Å
α = 90.00°, β = 90.00°, γ = 146.40°
Element x y z (fractional)
Au  0.5757  0.4243  0.2500
Au  0.4243  0.5757  0.7500
Er  0.0000  0.0000  0.0000
Er  0.0000  0.0000  0.5000
Mg  0.2305  0.7695  0.2500
Mg  0.7695  0.2305  0.7500
S  0.6361  0.3639  0.0524
S  0.6361  0.3639  0.4476
S  0.3639  0.6361  0.5524
S  0.3639  0.6361  0.9476
Te  0.8904  0.1096  0.2500
Te  0.1096  0.8904  0.7500

Values from the calculation:
**Total magnetization**: 0.00 μB per atom
**Total energy**: -4.47 eV/atom

No. 4
A geometry-optimized FeNiSnPd structure. Source: the Open Quantum Materials Database, functional PBE-GGA.

a = 4.3845 Å, b = 4.3845 Å, c = 4.3845 Å
α = 60.00°, β = 60.00°, γ = 60.00°
Element x y z (fractional)
Fe  0.5000  0.5000  0.5000
Ni  0.7500  0.7500  0.7500
Pd  0.2500  0.2500  0.2500
Sn  0.0000  0.0000  0.0000

Values from the calculation:
**Total magnetization**: 0.81 μB per atom
**Distance to the lowest polymorph of the same formula**: 0.000 eV/f.u.

No. 5
A geometry-optimized CdSnSCl2 structure. Source: the Open Quantum Materials Database, functional PBE-GGA.

a = 6.8968 Å, b = 6.8968 Å, c = 9.4366 Å
α = 90.00°, β = 90.00°, γ = 145.74°
Element x y z (fractional)
Cd  0.0000  0.0000  0.0000
Cd  0.0000  0.0000  0.5000
Cl  0.6403  0.3597  0.0473
Cl  0.6403  0.3597  0.4527
Cl  0.3597  0.6403  0.5473
Cl  0.3597  0.6403  0.9527
S  0.9267  0.0733  0.2500
S  0.0733  0.9267  0.7500
Sn  0.2933  0.7067  0.2500
Sn  0.7067  0.2933  0.7500

Values from the calculation:
**Total energy**: -3.39 eV/atom

No. 6
A geometry-optimized Pr2Dy2NCl5 structure. Source: the Open Quantum Materials Database, functional PBE-GGA.

a = 8.7731 Å, b = 8.7731 Å, c = 8.1334 Å
α = 103.22°, β = 103.22°, γ = 24.74°
Element x y z (fractional)
Cl  0.8241  0.8241  0.1459
Cl  0.1695  0.1695  0.3226
Cl  0.5000  0.5000  0.5000
Cl  0.8305  0.8305  0.6774
Cl  0.1759  0.1759  0.8541
Dy  0.6404  0.6404  0.0747
Dy  0.3596  0.3596  0.9253
N  0.5000  0.5000  0.0000
Pr  0.9985  0.9985  0.2103
Pr  0.0015  0.0015  0.7897

Values from the calculation:
**Total magnetization**: 0.00 μB per atom
**Total energy**: -5.50 eV/atom

No. 7
A geometry-optimized BaSm2Se3 structure. Source: the Open Quantum Materials Database, functional PBE-GGA.

a = 4.2872 Å, b = 4.2872 Å, c = 10.8024 Å
α = 90.00°, β = 90.00°, γ = 120.00°
Element x y z (fractional)
Ba  0.0000  0.0000  0.0000
Se  0.3333  0.6667  0.1949
Se  0.0000  0.0000  0.5000
Se  0.6667  0.3333  0.8051
Sm  0.6667  0.3333  0.3504
Sm  0.3333  0.6667  0.6496

Values from the calculation:
**Total magnetization**: 0.00 μB per atom
**Total energy**: -5.51 eV/atom

No. 8
A geometry-optimized BeGaIr2 structure. Source: the Open Quantum Materials Database, functional PBE-GGA.

a = 4.2573 Å, b = 4.2573 Å, c = 4.2573 Å
α = 60.00°, β = 60.00°, γ = 60.00°
Element x y z (fractional)
Be  0.2500  0.2500  0.2500
Ga  0.5000  0.5000  0.5000
Ir  0.0000  0.0000  0.0000
Ir  0.7500  0.7500  0.7500

Values from the calculation:
**Total magnetization**: 0.02 μB per atom
**Distance to the lowest polymorph of the same formula**: 2.333 eV/f.u.

No. 9
A geometry-optimized MgZrTcAs structure. Source: the Open Quantum Materials Database, functional PBE-GGA.

a = 4.5856 Å, b = 4.5856 Å, c = 4.5856 Å
α = 60.00°, β = 60.00°, γ = 60.00°
Element x y z (fractional)
As  0.2500  0.2500  0.2500
Mg  0.7500  0.7500  0.7500
Tc  0.5000  0.5000  0.5000
Zr  0.0000  0.0000  0.0000

Values from the calculation:
**Total magnetization**: 0.00 μB per atom
**Distance to the lowest polymorph of the same formula**: 0.492 eV/f.u.

No. 10
A geometry-optimized Tm2GeAu structure. Source: the Open Quantum Materials Database, functional PBE-GGA.

a = 4.2559 Å, b = 5.7441 Å, c = 5.7441 Å
α = 40.56°, β = 90.00°, γ = 90.00°
Element x y z (fractional)
Au  0.0000  0.4128  0.4128
Ge  0.5000  0.5877  0.5877
Tm  0.0000  0.1393  0.1393
Tm  0.5000  0.8603  0.8603

Values from the calculation:
**Total magnetization**: 0.00 μB per atom
**Total energy**: -5.08 eV/atom

No. 11
A geometry-optimized SrAuSe2O6 structure. Source: the Open Quantum Materials Database, functional PBE-GGA.

a = 4.8001 Å, b = 4.8001 Å, c = 15.2501 Å
α = 89.20°, β = 89.20°, γ = 67.79°
Element x y z (fractional)
Au  0.0000  0.0000  0.0000
Au  0.0000  0.0000  0.5000
O  0.7375  0.3422  0.0931
O  0.1828  0.7489  0.1167
O  0.3665  0.2306  0.2056
O  0.7694  0.6335  0.2944
O  0.2511  0.8172  0.3833
O  0.6578  0.2625  0.4069
O  0.3422  0.7375  0.5931
O  0.7489  0.1828  0.6167
O  0.2306  0.3665  0.7056
O  0.6335  0.7694  0.7944
O  0.8172  0.2511  0.8833
O  0.2625  0.6578  0.9069
Se  0.3636  0.3605  0.1020
Se  0.6395  0.6364  0.3980
Se  0.3605  0.3636  0.6020
Se  0.6364  0.6395  0.8980
Sr  0.9326  0.0674  0.2500
Sr  0.0674  0.9326  0.7500

Values from the calculation:
**Total energy**: -5.30 eV/atom

No. 12
A geometry-optimized HfSbAsO structure. Source: the Open Quantum Materials Database, functional PBE-GGA.

a = 3.8362 Å, b = 6.5018 Å, c = 7.5640 Å
α = 90.00°, β = 90.00°, γ = 90.00°
Element x y z (fractional)
As  0.0000  0.3304  0.4243
As  0.0000  0.6696  0.9243
Hf  0.5000  0.0483  0.4991
Hf  0.5000  0.9517  0.9991
O  0.5000  0.9242  0.2584
O  0.5000  0.0758  0.7584
Sb  0.0000  0.2997  0.0722
Sb  0.0000  0.7003  0.5722

Values from the calculation:
**Total magnetization**: 0.00 μB per atom
**Distance to the lowest polymorph of the same formula**: 0.000 eV/f.u.